Compound: NiIrOs
Source: Alexandria
Functional: SCAN
Structure: single point on PBEsol structure

Geometry as CIF:
```
data_NiIrOs
_chemical_formula_sum 'Ni4 Ir4 Os4'
_cell_length_a 5.704
_cell_length_b 5.704
_cell_length_c 5.704
_cell_angle_alpha 90.00
_cell_angle_beta 90.00
_cell_angle_gamma 90.00
_space_group_name_H-M_alt 'F -4 3 m'
_space_group_IT_number 216
_space_group_name_Hall 'F -4 2 3'
loop_
_atom_site_label
_atom_site_type_symbol
_atom_site_fract_x
_atom_site_fract_y
_atom_site_fract_z
Ni1 Ni 0.000 0.000 0.000
Ir1 Ir 0.250 0.250 0.750
Os1 Os 0.000 0.000 0.500
```

Computed properties:
calculated density	15.788	Mg/m³
excess energy over the best structure of this formula in the dataset	526.7	meV per atom
DOS at the Fermi energy	1.280	states/eV per atom

=====

Compound: BiPd2F
Source: Alexandria
Functional: SCAN
Structure: single point on PBEsol structure

Geometry as CIF:
```
data_BiPd2F
_chemical_formula_sum 'Bi4 Pd8 F4'
_cell_length_a 7.011
_cell_length_b 7.011
_cell_length_c 5.345
_cell_angle_alpha 90.00
_cell_angle_beta 90.00
_cell_angle_gamma 90.00
_space_group_name_H-M_alt 'I -4 2 d'
_space_group_IT_number 122
_space_group_name_Hall 'I -4 2bw'
loop_
_atom_site_label
_atom_site_type_symbol
_atom_site_fract_x
_atom_site_fract_y
_atom_site_fract_z
Bi1 Bi 0.000 0.000 0.000
Pd1 Pd 0.214 0.250 0.625
F1 F 0.000 0.000 0.500
```

Computed properties:
calculated density	11.144	Mg/m³
electronic total energy	-37.4254	eV/atom
DOS at the Fermi energy	0.376	states/eV per atom

=====

Compound: Re12W17
Source: Alexandria
Functional: SCAN
Structure: single point on PBEsol structure

Geometry as CIF:
```
data_Re12W17
_chemical_formula_sum 'Re24 W34'
_cell_length_a 9.653
_cell_length_b 9.653
_cell_length_c 9.653
_cell_angle_alpha 90.00
_cell_angle_beta 90.00
_cell_angle_gamma 90.00
_space_group_name_H-M_alt 'I -4 3 m'
_space_group_IT_number 217
_space_group_name_Hall 'I -4 2 3'
loop_
_atom_site_label
_atom_site_type_symbol
_atom_site_fract_x
_atom_site_fract_y
_atom_site_fract_z
Re1 Re 0.092 0.092 0.716
W1 W 0.000 0.000 0.000
W2 W 0.045 0.359 0.641
W3 W 0.177 0.177 0.177
```

Computed properties:
calculated density	19.787	Mg/m³
electronic total energy	-70.2141	eV/atom
DOS at the Fermi energy	0.716	states/eV per atom

=====

Compound: Ca2OsPt
Source: Alexandria
Functional: SCAN
Structure: single point on PBEsol structure

Geometry as CIF:
```
data_Ca2OsPt
_chemical_formula_sum 'Ca4 Os2 Pt2'
_cell_length_a 2.880
_cell_length_b 5.001
_cell_length_c 11.332
_cell_angle_alpha 90.00
_cell_angle_beta 90.00
_cell_angle_gamma 90.00
_space_group_name_H-M_alt 'I m m 2'
_space_group_IT_number 44
_space_group_name_Hall 'I 2 -2'
loop_
_atom_site_label
_atom_site_type_symbol
_atom_site_fract_x
_atom_site_fract_y
_atom_site_fract_z
Ca1 Ca 0.000 0.000 0.000
Ca2 Ca 0.000 0.500 0.190
Os1 Os 0.000 0.500 0.751
Pt1 Pt 0.000 0.000 0.442
```

Computed properties:
calculated density	9.471	Mg/m³
excess energy over the best structure of this formula in the dataset	0.0	meV per atom
DOS at the Fermi energy	0.704	states/eV per atom

=====

Compound: TlCdPb2
Source: Alexandria
Functional: SCAN
Structure: single point on PBEsol structure

Geometry as CIF:
```
data_TlCdPb2
_chemical_formula_sum 'Tl2 Cd2 Pb4'
_cell_length_a 3.678
_cell_length_b 5.479
_cell_length_c 10.859
_cell_angle_alpha 90.00
_cell_angle_beta 90.00
_cell_angle_gamma 90.00
_space_group_name_H-M_alt 'I m m 2'
_space_group_IT_number 44
_space_group_name_Hall 'I 2 -2'
loop_
_atom_site_label
_atom_site_type_symbol
_atom_site_fract_x
_atom_site_fract_y
_atom_site_fract_z
Tl1 Tl 0.000 0.000 0.000
Cd1 Cd 0.000 0.500 0.731
Pb1 Pb 0.000 0.000 0.467
Pb2 Pb 0.000 0.500 0.235
```

Computed properties:
calculated density	11.098	Mg/m³
excess energy over the best structure of this formula in the dataset	39.6	meV per atom
DOS at the Fermi energy	0.477	states/eV per atom

=====

Compound: YTcRh3
Source: Alexandria
Functional: SCAN
Structure: single point on PBEsol structure

Geometry as CIF:
```
data_YTcRh3
_chemical_formula_sum 'Y1 Tc1 Rh3'
_cell_length_a 4.616
_cell_length_b 4.616
_cell_length_c 4.616
_cell_angle_alpha 90.00
_cell_angle_beta 90.00
_cell_angle_gamma 90.00
_space_group_name_H-M_alt 'P m -3 m'
_space_group_IT_number 221
_space_group_name_Hall '-P 4 2 3'
loop_
_atom_site_label
_atom_site_type_symbol
_atom_site_fract_x
_atom_site_fract_y
_atom_site_fract_z
Y1 Y 0.000 0.000 0.000
Tc1 Tc 0.500 0.500 0.500
Rh1 Rh 0.000 0.500 0.500
```

Computed properties:
calculated density	8.370	Mg/m³
electronic total energy	-32.5077	eV/atom
DOS at the Fermi energy	0.797	states/eV per atom